Entry 1:
Below is a relaxed CaAcLuSc crystal, with properties calculated at the PBE-GGA level. Values from VASP.

Output
As for the symmetry: F-43m (216). The value obtained for the formation energy is 167 meV per atom.

The structure in Quantum ESPRESSO input format:
```
&SYSTEM
  ibrav = 0, nat = 4, ntyp = 4
/
ATOMIC_SPECIES
Ca 40.08 Ca.upf
Ac 227.00 Ac.upf
Lu 174.97 Lu.upf
Sc 44.96 Sc.upf
CELL_PARAMETERS angstrom
0.000 4.075 4.075
4.075 0.000 4.075
4.075 4.075 0.000
ATOMIC_POSITIONS angstrom
Ca 0.000 0.000 0.000
Ac 6.112 6.112 6.112
Lu 2.037 2.037 2.037
Sc 4.075 4.075 4.075
```

***

Entry 2:
Below is a relaxed PuHf2Sc2 crystal, with properties calculated at the PBE-GGA level. Values from VASP.

Output
As for the symmetry: P4/mbm (127). The value obtained for the formation energy is 277 meV per atom.

The structure in Quantum ESPRESSO input format:
```
&SYSTEM
  ibrav = 0, nat = 10, ntyp = 3
/
ATOMIC_SPECIES
Pu 244.00 Pu.upf
Hf 178.49 Hf.upf
Sc 44.96 Sc.upf
CELL_PARAMETERS angstrom
8.753 0.000 0.000
0.000 8.753 0.000
0.000 0.000 3.227
ATOMIC_POSITIONS angstrom
Pu 0.000 0.000 0.000
Pu 4.377 4.377 0.000
Hf 1.077 3.299 1.614
Hf 3.299 7.676 1.614
Hf 5.454 1.077 1.614
Hf 7.676 5.454 1.614
Sc 1.471 5.847 0.000
Sc 2.906 1.471 0.000
Sc 5.847 7.283 0.000
Sc 7.283 2.906 0.000
```

***

Entry 3:
Below is a relaxed HfNb2NiAu crystal, with properties calculated at the PBE-GGA level. Values from VASP.

Output
As for the symmetry: P4/mmm (123). The value obtained for the formation energy is 1590 meV per atom.

The structure in Quantum ESPRESSO input format:
```
&SYSTEM
  ibrav = 0, nat = 5, ntyp = 4
/
ATOMIC_SPECIES
Hf 178.49 Hf.upf
Nb 92.91 Nb.upf
Ni 58.69 Ni.upf
Au 196.97 Au.upf
CELL_PARAMETERS angstrom
4.949 0.000 0.000
0.000 4.949 0.000
0.000 0.000 5.044
ATOMIC_POSITIONS angstrom
Hf 0.000 0.000 0.000
Nb 0.000 2.475 2.522
Nb 2.475 0.000 2.522
Ni 2.475 2.475 0.000
Au 0.000 0.000 2.522
```

***

Entry 4:
Below is a relaxed Mg2Ga4Tc crystal, with properties calculated at the PBE-GGA level. Values from VASP.

Output
As for the symmetry: I4/mmm (139). The value obtained for the formation energy is 123 meV per atom.

The structure in Quantum ESPRESSO input format:
```
&SYSTEM
  ibrav = 0, nat = 7, ntyp = 3
/
ATOMIC_SPECIES
Mg 24.30 Mg.upf
Ga 69.72 Ga.upf
Tc 98.00 Tc.upf
CELL_PARAMETERS angstrom
-2.415 2.415 6.800
2.415 -2.415 6.800
2.415 2.415 -6.800
ATOMIC_POSITIONS angstrom
Mg 0.000 0.000 1.664
Mg 0.000 0.000 11.937
Ga 2.415 0.000 0.000
Ga 0.000 0.000 4.325
Ga 0.000 2.415 0.000
Ga 0.000 0.000 9.275
Tc 0.000 0.000 6.800
```